1.
Mg2ZrSe | PBE-GGA | optimized geometry

The structure in extended XYZ format:
```
4
Lattice="4.0081 0.0000 0.0000 0.0000 4.0081 0.0000 0.0000 0.0000 5.1996" Properties=species:S:1:pos:R:3 pbc="T T T"
Mg 0.0000 0.0000 0.0000
Mg 2.0041 2.0041 0.0000
Se 2.0041 0.0000 2.5998
Zr 0.0000 2.0041 2.5998
```

The value obtained for the magnetization is 0.00 μB/cell. Its uncorrected formation energy is -0.220 eV per atom. The electronic total energy is -16.1 eV/cell. The density is 4.35 Mg/m³.


2.
LaHo2Ir | PBE-GGA | optimized geometry

The structure in extended XYZ format:
```
4
Lattice="3.8149 0.0000 0.0000 1.9075 3.3038 0.0000 1.9075 1.1013 10.5338" Properties=species:S:1:pos:R:3 pbc="T T T"
Ir 3.8149 2.2026 5.2669
Ho 1.9075 1.1013 6.8641
Ho 5.7224 3.3038 3.6697
La 0.0000 0.0000 0.0000
```

The value obtained for the magnetization is 0.00 μB/cell. The electronic total energy is -23.8 eV/cell. The excess energy over the best structure of this formula in the dataset is 129 kJ/mol of formula units. The density is 8.27 Mg/m³.


3.
TlPbO3 | PBE-GGA | optimized geometry

The structure in extended XYZ format:
```
20
Lattice="-2.6594 -3.6001 3.9220 -0.9043 -5.2712 -5.2368 6.3833 -3.7512 1.1000" Properties=species:S:1:pos:R:3 pbc="T T T"
Tl 0.5311 -5.7332 -2.4300
Tl 5.0914 -4.7820 1.5353
Tl 2.2884 -6.8893 2.2152
Tl -2.2719 -7.8405 -1.7501
Pb -1.3062 -5.4539 1.1276
Pb 1.6497 -3.3146 0.5806
Pb 1.1698 -9.3078 -0.7955
Pb 4.1257 -7.1686 -1.3424
O -1.7095 -3.1918 1.2753
O 1.0275 -1.0982 0.5380
O 1.7920 -11.5243 -0.7528
O 4.5290 -9.4307 -1.4901
O 0.1112 -6.4231 2.5966
O 0.2969 -4.8616 -0.3591
O 2.5226 -7.7609 0.1443
O 2.7083 -6.1994 -2.8114
O -2.4869 -7.2440 0.4312
O 2.8691 -4.6042 1.9713
O -0.0496 -8.0183 -2.1861
O 5.3064 -5.3785 -0.6460
```

The value obtained for the magnetization is 0.00 μB/cell. Its uncorrected formation energy is -0.719 eV per atom. The electronic total energy is -98.2 eV/cell. The density is 9.26 Mg/m³.


4.
BaSn2Se3 | PBE-GGA | optimized geometry

The structure in extended XYZ format:
```
12
Lattice="-2.0841 -1.9840 5.7817 7.6009 -0.8588 -1.1617 -1.2809 8.4641 2.4428" Properties=species:S:1:pos:R:3 pbc="T T T"
Ba -0.3236 2.1128 0.6201
Ba -3.0414 4.3673 7.6044
Sn 3.8294 2.2790 2.3219
Sn 3.2811 6.5988 3.2877
Sn 0.9547 -0.9775 3.7751
Sn 0.4064 3.3423 4.7409
Se -2.0015 5.3573 4.7195
Se -1.3636 1.1228 3.5051
Se 1.9222 5.4184 6.4750
Se 1.4907 4.2612 2.3154
Se 2.7452 1.3601 4.7474
Se 2.3136 0.2029 0.5878
```

The value obtained for the magnetization is 0.00 μB/cell. Its uncorrected formation energy is -0.942 eV per atom. The electronic total energy is -52.1 eV/cell. The excess energy over the best structure of this formula in the dataset is 0 kJ/mol of formula units. The density is 5.30 Mg/m³.


5.
Na2Zn3F8 | PBE-GGA | optimized geometry

The structure in extended XYZ format:
```
13
Lattice="5.3218 0.0000 0.0767 0.0000 6.3261 0.0000 -2.0528 -3.1631 5.2484" Properties=species:S:1:pos:R:3 pbc="T T T"
Na 0.6822 0.0000 2.9544
Na 2.5867 3.1631 2.3706
Zn 2.6609 0.0000 0.0383
Zn 0.0000 1.6575 0.0000
Zn 0.0000 4.6686 0.0000
F 4.5499 3.1631 1.1966
F -1.2809 0.0000 4.1284
F 4.4524 0.0000 1.1424
F -1.1835 3.1631 4.1826
F 1.6021 1.7646 4.1595
F 1.6021 -1.7646 4.1595
F 1.6668 4.9277 1.1655
F 1.6668 1.3984 1.1655
```

The value obtained for the magnetization is 0.00 μB/cell. Its uncorrected formation energy is -2.467 eV per atom. The electronic total energy is -53.5 eV/cell. The density is 3.68 Mg/m³.


6.
Pb13Br6O10 | PBE-GGA | optimized geometry

The structure in extended XYZ format:
```
58
Lattice="9.1675 -0.0494 -0.0070 6.1690 6.7815 -0.0070 3.3803 1.4838 24.4201" Properties=species:S:1:pos:R:3 pbc="T T T"
Pb 7.5871 2.4588 22.9143
Pb 14.7495 5.8992 3.1855
Pb 6.9418 3.6489 15.8339
Pb 9.3643 1.7984 6.0981
Pb 16.0162 7.6057 15.3956
Pb 12.5386 3.1449 17.2297
Pb 7.7695 1.2515 0.2743
Pb 3.9674 2.3167 21.2207
Pb 2.1571 1.5504 1.9503
Pb 6.1782 5.0711 7.1765
Pb 11.7750 4.5671 8.5723
Pb 5.6946 1.8980 3.6238
Pb 5.2554 3.1785 10.7042
Pb 9.6048 1.8571 19.3865
Pb 9.1120 6.3589 5.0197
Pb 10.9474 6.9645 24.1319
Pb 16.5597 6.6655 22.4559
Pb 9.3525 6.4175 18.3081
Pb 11.1297 5.7571 1.4919
Pb 2.7006 0.6103 9.0106
Pb 7.8704 5.6138 12.4843
Pb 10.8465 2.6021 11.9218
Pb 14.4254 6.9357 10.2459
Pb 13.0223 6.3180 20.7823
Pb 4.2915 1.2803 14.1603
Pb 13.4614 5.0374 13.7020
Br 8.5092 3.9601 3.3143
Br 12.8371 6.9774 6.0649
Br 8.3520 3.8911 8.8818
Br 15.5153 5.4682 18.2750
Br 10.3649 4.3248 15.5244
Br 13.8426 4.7893 23.3977
Br 11.2051 6.2057 11.1876
Br 7.5117 2.0103 13.2186
Br 4.8742 3.4267 1.0085
Br 10.2077 4.2558 21.0919
Br 3.2015 2.7477 6.1312
Br 5.8798 1.2386 18.3413
O 3.9274 2.9900 12.6427
O 14.7894 5.2260 11.7635
O 4.6999 3.2551 15.4578
O 16.0417 7.0822 7.7356
O 14.0169 4.9608 8.9484
O 17.7617 7.7561 19.9457
O 2.0265 0.9543 13.6139
O 2.6751 1.1337 16.6706
O 6.5773 5.4519 14.5780
O 3.8872 0.5143 3.2477
O 14.8296 7.7017 21.1585
O 11.9419 7.8067 22.0382
O 3.1691 0.1252 0.4326
O 0.9551 0.4598 4.4605
O 15.5477 8.0908 23.9736
O 12.1396 2.7641 9.8281
O 0.3840 0.1038 1.4039
O 6.7750 0.4092 2.3680
O 18.3328 8.1121 23.0023
O 16.6904 7.2617 10.7922
```

The value obtained for the magnetization is 0.00 μB/cell. Its uncorrected formation energy is -1.117 eV per atom. The electronic total energy is -280.5 eV/cell. The density is 7.25 Mg/m³.